1.
Crystalline BeZn4Cr at its relaxed geometry, computed with PBE.

Calculated values
Fermi-level density of states = 0.245 states/eV/atom
raw total energy = -2.788 eV per atom
M_tot = 3.92 μB/f.u.

Cell lengths 7.001, 7.001, 7.001 Å; angles 90.00, 90.00, 90.00 degrees
Space group F-43m (No. 216)
Symmetry-distinct sites (fractional):
Be  0.000  0.000  0.000 (multiplicity 4)
Zn  0.125  0.125  0.625 (multiplicity 16)
Cr  0.250  0.250  0.250 (multiplicity 4)

***

2.
Crystalline BeZnCr2 at its relaxed geometry, computed with PBE.

Calculated values
Fermi-level density of states = 0.711 states/eV/atom
raw total energy = -5.914 eV per atom
M_tot = 0.03 μB/f.u.

Cell lengths 3.082, 3.689, 4.030 Å; angles 90.00, 90.00, 90.00 degrees
Space group Pmmm (No. 47)
Symmetry-distinct sites (fractional):
Be  0.000  0.000  0.000 (multiplicity 1)
Zn  0.500  0.500  0.000 (multiplicity 1)
Cr  0.000  0.500  0.500 (multiplicity 1)
Cr  0.500  0.000  0.500 (multiplicity 1)

***

3.
Crystalline Be2ZnCr at its relaxed geometry, computed with PBE.

Calculated values
Fermi-level density of states = 0.744 states/eV/atom
raw total energy = -4.302 eV per atom
M_tot = 0.00 μB/f.u.

Cell lengths 2.4940, 2.4940, 24.2429 Å; angles 90.00, 90.00, 120.00 degrees
Space group R3m (No. 160, hexagonal axes)
Symmetry-distinct sites (fractional):
Be  0.0000  0.0000  0.0000 (multiplicity 3)
Be  0.0000  0.0000  0.2597 (multiplicity 3)
Zn  0.0000  0.0000  0.7535 (multiplicity 3)
Cr  0.0000  0.0000  0.5128 (multiplicity 3)

***

4.
Crystalline Be3ZnCr at its relaxed geometry, computed with PBE.

Calculated values
Fermi-level density of states = 0.601 states/eV/atom
raw total energy = -3.129 eV per atom
M_tot = 0.00 μB/f.u.

Cell lengths 4.107, 4.107, 4.107 Å; angles 90.00, 90.00, 90.00 degrees
Space group Pm-3m (No. 221)
Symmetry-distinct sites (fractional):
Be  0.000  0.000  0.500 (multiplicity 3)
Zn  0.500  0.500  0.500 (multiplicity 1)
Cr  0.000  0.000  0.000 (multiplicity 1)

***

What formation energy values result from the calculations? In sequence: 286, 148, 285, 1286 meV per atom.